A relaxed structure of NaLa2Y, computed with GGA-PBE.

The structure in POSCAR format:
```
NaLa2Y
1.0
-0.826 0.677 3.522
2.611 -0.247 2.582
3.356 12.099 0.386
Na La Y
1 2 1
Direct
0.667 0.667 0.000
0.089 0.089 0.734
0.245 0.245 0.266
0.500 0.500 0.500
```

- DFT formation energy (eV per atom) = 0.064
- energy above the most stable polymorph in this dataset (eV per atom) = 0.000
- magnetization (μB/f.u.) = 0.00

=====

A relaxed structure of Na3Pu2TiSe6, computed with GGA-PBE.

The structure in POSCAR format:
```
Na3Pu2TiSe6
1.0
-6.886 -1.223 0.671
4.527 -2.747 4.617
0.169 7.023 2.223
Na Pu Ti Se
3 2 1 6
Direct
0.170 0.830 0.500
0.830 0.170 0.500
0.500 0.500 0.500
0.334 0.666 0.000
0.666 0.334 0.000
0.000 0.000 0.000
0.925 0.613 0.775
0.764 0.764 0.224
0.075 0.387 0.225
0.613 0.925 0.775
0.236 0.236 0.776
0.387 0.075 0.225
```

- formation energy without anion corrections (meV/atom) = -1318
- magnetization (μB/f.u.) = 11.00